Sc2VNiO6 | PBE+U | optimized geometry

Geometry as CIF:
```
data_Sc2VNiO6
_chemical_formula_sum 'Sc2 V1 Ni1 O6'
_space_group_name_H-M_alt 'P 1'
_space_group_IT_number 1
_space_group_name_Hall 'P 1'
_cell_length_a 5.193
_cell_length_b 5.239
_cell_length_c 5.545
_cell_angle_alpha 62.00
_cell_angle_beta 62.69
_cell_angle_gamma 60.30
loop_
_atom_site_label
_atom_site_type_symbol
_atom_site_fract_x
_atom_site_fract_y
_atom_site_fract_z
Sc1 Sc 0.000 0.000 0.000
Sc2 Sc 0.497 0.511 0.500
V1 V 0.291 0.302 0.118
Ni1 Ni 0.789 0.797 0.629
O1 O 0.089 0.404 0.838
O2 O 0.180 0.927 0.322
O3 O 0.396 0.687 0.827
O4 O 0.552 0.202 0.316
O5 O 0.672 0.098 0.830
O6 O 0.914 0.579 0.319
```

Computed properties:
V: 110.5 Å³/cell
Calculated total energy: -7.806 eV/atom